1.
Zr2Sc3In: relaxed, PBE.

Summary:
As for the crystal system: orthorhombic. The value obtained for the energy relative to the lowest polymorph listed for this composition is 0 meV per atom. For the final energy, the calculation gives -79.2 eV per cell. For the formation energy, the calculation gives -0.1307 eV per atom. The value obtained for the magnetic moment is 0.0 Bohr magnetons per cell.

Lattice parameters (Å, degrees): 4.999 9.623 5.845 90.00 90.00 90.00
Space group Pmc2_1 (No. 26)
Asymmetric unit:
Zr 0.000 0.079 0.000 x2
Zr 0.500 0.250 0.841 x2
Sc 0.000 0.244 0.499 x2
Sc 0.000 0.422 0.052 x2
Sc 0.500 0.084 0.312 x2
In 0.500 0.416 0.363 x2

2.
Zr2Sc4In: relaxed, PBE.

Summary:
As for the crystal system: orthorhombic. For the final energy, the calculation gives -178.7 eV per cell. For the formation energy, the calculation gives 0.0702 eV per atom. The value obtained for the magnetic moment is 0.0 Bohr magnetons per cell.

Lattice parameters (Å, degrees): 5.017 8.683 15.719 90.00 90.00 90.00
Space group Cmcm (No. 63)
Asymmetric unit:
Zr 0.000 0.167 0.048 x8
Sc 0.000 0.166 0.250 x4
Sc 0.000 0.167 0.644 x8
Sc 0.000 0.500 0.000 x4
In 0.000 0.500 0.250 x4

3.
ZrSc4In3: relaxed, PBE.

Summary:
As for the crystal system: tetragonal. For the final energy, the calculation gives -89.7 eV per cell. For the formation energy, the calculation gives -0.3449 eV per atom. The value obtained for the magnetic moment is 0.0 Bohr magnetons per cell.

Lattice parameters (Å, degrees): 4.586 4.586 17.204 90.00 90.00 90.00
Space group I4/mmm (No. 139)
Asymmetric unit:
Zr 0.000 0.000 0.000 x2
Sc 0.000 0.500 0.127 x8
In 0.000 0.000 0.250 x4
In 0.000 0.000 0.500 x2

4.
Zr3Sc2In2: relaxed, PBE.

Summary:
As for the crystal system: orthorhombic. For the final energy, the calculation gives -87.5 eV per cell. For the formation energy, the calculation gives 0.0063 eV per atom. The value obtained for the magnetic moment is 0.0 Bohr magnetons per cell.

Lattice parameters (Å, degrees): 5.104 20.345 3.065 90.00 90.00 90.00
Space group Cmmm (No. 65)
Asymmetric unit:
Zr 0.000 0.000 0.000 x2
Zr 0.000 0.279 0.000 x4
Sc 0.000 0.427 0.000 x4
In 0.000 0.142 0.500 x4

5.
Zr3Sc5In3: relaxed, PBE.

Summary:
As for the crystal system: monoclinic. For the final energy, the calculation gives -133.6 eV per cell. For the formation energy, the calculation gives -0.1175 eV per atom. The value obtained for the magnetic moment is 2.1 Bohr magnetons per cell.

Lattice parameters (Å, degrees): 15.365 10.575 3.252 90.00 98.68 90.00
Space group C2 (No. 5)
Asymmetric unit:
Zr 0.000 0.000 0.000 x2
Zr 0.088 0.243 0.285 x4
Sc 0.000 0.502 0.000 x2
Sc 0.169 0.002 0.686 x4
Sc 0.186 0.733 0.183 x4
In 0.000 0.754 0.500 x2
In 0.169 0.476 0.691 x4

6.
ZrSc6In3: relaxed, PBE.

Summary:
As for the crystal system: monoclinic. For the final energy, the calculation gives -115.1 eV per cell. For the formation energy, the calculation gives -0.2777 eV per atom. The value obtained for the magnetic moment is 0.1 Bohr magnetons per cell.

Lattice parameters (Å, degrees): 8.803 5.035 11.135 90.00 109.99 90.00
Space group P2_1/m (No. 11)
Asymmetric unit:
Zr 0.038 0.250 0.424 x2
Sc 0.086 0.750 0.876 x2
Sc 0.143 0.750 0.170 x2
Sc 0.151 0.250 0.717 x2
Sc 0.255 0.750 0.481 x2
Sc 0.336 0.250 0.322 x2
Sc 0.455 0.750 0.080 x2
In 0.224 0.250 0.027 x2
In 0.363 0.750 0.777 x2
In 0.450 0.250 0.619 x2

7.
ZrScIn4: relaxed, PBE.

Summary:
As for the crystal system: cubic. The value obtained for the energy relative to the lowest polymorph listed for this composition is 0 meV per atom. For the final energy, the calculation gives -105.4 eV per cell. For the formation energy, the calculation gives -0.0860 eV per atom. The value obtained for the magnetic moment is 0.0 Bohr magnetons per cell.

Lattice parameters (Å, degrees): 8.215 8.215 8.215 90.00 90.00 90.00
Space group F-43m (No. 216)
Asymmetric unit:
Zr 0.000 0.000 0.000 x4
Sc 0.250 0.250 0.250 x4
In 0.125 0.125 0.625 x16

8.
ZrSc2In2: relaxed, PBE.

Summary:
As for the crystal system: triclinic. The value obtained for the energy relative to the lowest polymorph listed for this composition is 25 meV per atom. For the final energy, the calculation gives -111.3 eV per cell. For the formation energy, the calculation gives -0.2265 eV per atom. The value obtained for the magnetic moment is 0.0 Bohr magnetons per cell.

Lattice parameters (Å, degrees): 5.395 8.264 10.580 89.33 77.54 89.15
Space group P-1 (No. 2)
Asymmetric unit:
Zr 0.048 0.359 0.252 x2
Zr 0.331 0.121 0.754 x2
Sc 0.058 0.327 0.555 x2
Sc 0.249 0.412 0.951 x2
Sc 0.374 0.769 0.870 x2
Sc 0.399 0.827 0.557 x2
In 0.142 0.023 0.357 x2
In 0.188 0.066 0.063 x2
In 0.211 0.702 0.157 x2
In 0.493 0.521 0.348 x2

> Which of these has the highest final energy?

Zr2Sc3In

> What is the formula in the fifth record?

Zr3Sc5In3

> What is the formula in the third record?

ZrSc4In3

> Which of these has the lowest final energy?

Zr2Sc4In